[1]
A plane-wave DFT calculation with PBE was carried out for a relaxed structure of Ho2Tm6Zr.

Cell and atoms, written as POSCAR:
```
Ho2Tm6Zr
1.0
5.807 -0.068 -0.066
1.264 9.708 1.411
1.264 1.725 9.657
Tm Ho Zr
12 4 2
Cartesian
6.965 7.866 9.950
2.641 10.016 3.445
1.370 3.499 1.052
4.148 3.999 6.033
4.187 7.366 4.969
2.790 7.631 1.137
7.090 5.171 7.168
4.062 10.234 7.572
4.274 1.131 3.430
5.694 1.349 7.557
5.545 3.734 9.866
1.245 6.193 3.834
4.141 4.498 2.751
1.238 2.929 4.440
4.194 6.867 8.252
7.097 8.436 6.563
2.716 2.755 8.559
5.619 8.610 2.443
```

Summary:
Energy relative to the elements (eV per atom): 0.1215
Total DFT energy (no corrections) (eV per atom): -4.83

---

[2]
A plane-wave DFT calculation with PBE was carried out for a relaxed structure of HoTmZr.

Cell and atoms, written as POSCAR:
```
HoTmZr
1.0
-1.635 -4.329 2.548
3.527 -3.505 1.783
0.342 3.369 5.946
Tm Zr Ho
2 2 2
Cartesian
1.802 -3.453 2.057
1.983 -1.668 5.207
-0.201 -2.594 7.710
2.694 -3.488 8.049
2.522 -5.172 5.075
-0.374 -4.278 4.736
```

Summary:
Energy relative to the elements (eV per atom): 0.0953
Total DFT energy (no corrections) (eV per atom): -5.77

---

[3]
A plane-wave DFT calculation with PBE was carried out for a relaxed structure of HoTm3Zr.

Cell and atoms, written as POSCAR:
```
HoTm3Zr
1.0
3.879 0.001 1.887
1.940 7.577 0.944
-0.472 0.001 10.827
Tm Ho Zr
6 2 2
Cartesian
2.837 4.966 4.028
2.511 2.612 9.631
0.899 2.611 3.084
4.449 4.968 10.575
2.238 7.578 10.199
3.110 0.001 3.460
3.643 5.225 7.301
1.705 2.354 6.358
1.940 4.818 0.944
3.408 2.761 12.715
```

Summary:
Energy relative to the elements (eV per atom): 0.3431
Total DFT energy (no corrections) (eV per atom): -4.96

---

[4]
A plane-wave DFT calculation with PBE was carried out for a relaxed structure of Ho5Tm4Zr.

Cell and atoms, written as POSCAR:
```
Ho5Tm4Zr
1.0
5.812 0.000 0.000
2.906 7.300 0.000
2.906 0.000 7.300
Ho Tm Zr
5 4 1
Cartesian
2.718 0.000 4.600
5.623 4.600 7.299
3.906 0.000 0.000
5.623 2.700 0.000
8.529 7.299 2.700
8.366 4.951 4.951
5.460 2.349 4.951
2.554 2.349 2.349
5.460 4.951 2.349
1.223 0.000 0.000
```

Summary:
Energy relative to the elements (eV per atom): 0.2605
Total DFT energy (no corrections) (eV per atom): -4.67

---

[5]
A plane-wave DFT calculation with PBE was carried out for a relaxed structure of Ho2Tm6Zr.

Cell and atoms, written as POSCAR:
```
Ho2Tm6Zr
1.0
2.698 1.723 1.411
-3.242 1.278 0.302
-3.072 -12.909 21.647
Tm Ho Zr
6 2 1
Cartesian
-2.417 -10.156 17.030
-4.023 -10.176 20.128
-0.655 -2.753 4.616
-1.573 0.120 2.862
-1.333 -5.604 9.397
-1.738 -7.305 12.249
-2.259 -2.761 7.693
-3.338 -7.295 15.297
0.000 0.000 0.000
```

Summary:
Energy relative to the elements (eV per atom): 0.0634
Total DFT energy (no corrections) (eV per atom): -4.88

---

[6]
A plane-wave DFT calculation with PBE was carried out for a relaxed structure of Ho12Tm7Zr.

Cell and atoms, written as POSCAR:
```
Ho12Tm7Zr
1.0
-7.909 -3.202 0.993
1.617 -5.634 -6.280
3.077 -5.476 5.860
Tm Ho Zr
7 12 1
Cartesian
-1.608 -7.156 0.287
-6.429 -7.301 -2.789
3.051 -9.406 -2.156
-1.063 -6.399 -5.358
-2.153 -7.913 5.931
3.214 -7.011 3.363
-6.266 -4.906 2.729
-3.025 -7.652 -2.868
-1.689 -4.340 -1.758
-2.276 -4.068 1.748
1.561 -8.536 0.801
0.585 -7.069 -2.433
-3.800 -7.243 3.006
-0.939 -10.244 -1.174
0.987 -4.849 0.542
-4.202 -9.463 0.032
-1.526 -9.972 2.332
-0.190 -6.660 3.442
-4.777 -5.776 -0.228
0.000 0.000 0.000
```

Summary:
Energy relative to the elements (eV per atom): 0.2661
Total DFT energy (no corrections) (eV per atom): -4.47

---

[7]
A plane-wave DFT calculation with PBE was carried out for a relaxed structure of Ho4Tm2Zr.

Cell and atoms, written as POSCAR:
```
Ho4Tm2Zr
1.0
-1.246 -3.210 0.572
2.792 1.129 1.765
-11.674 7.024 13.976
Ho Tm Zr
4 2 1
Cartesian
-10.895 6.635 13.489
-2.589 1.638 3.546
-4.566 3.379 9.009
-7.685 5.256 12.742
-0.800 -1.143 2.493
-4.179 0.890 6.538
-7.462 2.865 10.466
```

Summary:
Energy relative to the elements (eV per atom): 0.0361
Total DFT energy (no corrections) (eV per atom): -5.08

---

[8]
A plane-wave DFT calculation with PBE was carried out for a relaxed structure of Ho3Tm3Zr.

Cell and atoms, written as POSCAR:
```
Ho3Tm3Zr
1.0
1.257 3.692 4.604
-2.187 -1.180 5.498
10.763 -6.468 6.203
Ho Zr Tm
6 2 6
Cartesian
2.612 -2.849 8.144
5.657 -3.967 6.901
4.499 -0.812 6.023
5.334 -3.144 10.282
4.176 0.011 9.403
7.221 -1.107 8.160
10.452 -5.630 9.570
-0.619 1.674 6.735
7.263 -5.904 9.336
0.695 -0.074 9.084
8.821 -3.058 10.582
1.012 -0.899 5.723
9.138 -3.882 7.221
2.571 1.947 6.968
```

Summary:
Energy relative to the elements (eV per atom): 0.1956
Total DFT energy (no corrections) (eV per atom): -4.90

---

> Among the records above, which one has the highest energy relative to the elements?

HoTm3Zr